1.
VASP calculation (PBE) on a relaxed Hf5AuN crystal.

Cell: 5.868 5.868 9.470 Å, 107.75 107.75 60.91°
Element x y z (fractional)
Hf: 0.032 0.377 0.629
Hf: 0.037 0.963 0.750
Hf: 0.197 0.570 0.969
Hf: 0.377 0.032 0.129
Hf: 0.430 0.803 0.531
Hf: 0.570 0.197 0.469
Hf: 0.623 0.968 0.871
Hf: 0.803 0.430 0.031
Hf: 0.963 0.037 0.250
Hf: 0.968 0.623 0.371
Au: 0.489 0.511 0.250
Au: 0.511 0.489 0.750
N: 0.000 0.000 0.000
N: 0.000 0.000 0.500

Properties
space group = C2/c (15)

=====

2.
VASP calculation (PBE) on a relaxed Hf5Au2N2 crystal.

Cell: 6.259 6.259 6.048 Å, 98.86 98.86 43.27°
Element x y z (fractional)
Hf: 0.000 0.000 0.000
Hf: 0.155 0.155 0.546
Hf: 0.336 0.336 0.080
Hf: 0.664 0.664 0.920
Hf: 0.845 0.845 0.454
Au: 0.425 0.425 0.671
Au: 0.575 0.575 0.329
N: 0.167 0.167 0.891
N: 0.833 0.833 0.109

Properties
space group = C2/m (12)

=====

3.
VASP calculation (PBE) on a relaxed Hf4AuN2 crystal.

Cell: 5.835 5.835 11.718 Å, 90.00 90.00 146.83°
Element x y z (fractional)
Hf: 0.000 0.000 0.000
Hf: 0.000 0.000 0.500
Hf: 0.260 0.740 0.604
Hf: 0.260 0.740 0.896
Hf: 0.417 0.583 0.250
Hf: 0.583 0.417 0.750
Hf: 0.740 0.260 0.104
Hf: 0.740 0.260 0.396
Au: 0.114 0.886 0.250
Au: 0.886 0.114 0.750
N: 0.367 0.633 0.061
N: 0.367 0.633 0.439
N: 0.633 0.367 0.561
N: 0.633 0.367 0.939

Properties
space group = Cmcm (63)

=====

| no. | calculated volume (Å³/atom) | formation energy without anion corrections (kJ/mol of formula units) |
| --- | --- | --- |
| 1 | 19.04 | -360 |
| 2 | 17.80 | -755 |
| 3 | 15.59 | -816 |